Record 1
# AlWBr (GGA-PBE, relaxed)
# Space group: P3m1 (156)
# Energy relative to the elements, uncorrected (meV per atom): 483
# Size of the total moment (Bohr magnetons per cell): 0.00
data_AlWBr
_cell_length_a 3.019
_cell_length_b 3.019
_cell_length_c 7.657
_cell_angle_alpha 90.00
_cell_angle_beta 90.00
_cell_angle_gamma 120.00
_symmetry_space_group_name_H-M 'P 1'
_symmetry_Int_Tables_number 1
loop_
_symmetry_equiv_pos_as_xyz
'x,y,z'
loop_
_atom_site_label
_atom_site_fract_x
_atom_site_fract_y
_atom_site_fract_z
Br1 0.667 0.333 0.401
W1 0.333 0.667 0.656
Al1 0.000 0.000 0.943

Record 2
# AlW2Br (GGA-PBE, relaxed)
# Space group: I-4m2 (119)
# Energy relative to the elements, uncorrected (meV per atom): 887
# Size of the total moment (Bohr magnetons per cell): 0.00
data_AlW2Br
_cell_length_a 4.819
_cell_length_b 4.819
_cell_length_c 4.819
_cell_angle_alpha 128.02
_cell_angle_beta 128.02
_cell_angle_gamma 76.59
_symmetry_space_group_name_H-M 'P 1'
_symmetry_Int_Tables_number 1
loop_
_symmetry_equiv_pos_as_xyz
'x,y,z'
loop_
_atom_site_label
_atom_site_fract_x
_atom_site_fract_y
_atom_site_fract_z
Br1 0.750 0.250 0.500
W1 0.000 0.000 0.000
W2 0.250 0.750 0.500
Al1 0.500 0.500 0.000

Record 3
# AlW2Br (GGA-PBE, relaxed)
# Space group: Cm (8)
# Energy relative to the elements, uncorrected (meV per atom): 764
# Size of the total moment (Bohr magnetons per cell): 0.00
data_AlW2Br
_cell_length_a 4.956
_cell_length_b 4.956
_cell_length_c 4.908
_cell_angle_alpha 72.61
_cell_angle_beta 72.61
_cell_angle_gamma 36.26
_symmetry_space_group_name_H-M 'P 1'
_symmetry_Int_Tables_number 1
loop_
_symmetry_equiv_pos_as_xyz
'x,y,z'
loop_
_atom_site_label
_atom_site_fract_x
_atom_site_fract_y
_atom_site_fract_z
Br1 0.258 0.258 0.245
W1 0.014 0.014 0.015
W2 0.742 0.742 0.688
Al1 0.487 0.487 0.552

Record 4
# AlWBr2 (GGA-PBE, relaxed)
# Space group: F-43m (216)
# Energy relative to the elements, uncorrected (meV per atom): 1197
# Size of the total moment (Bohr magnetons per cell): 4.72
data_AlWBr2
_cell_length_a 5.042
_cell_length_b 5.042
_cell_length_c 5.042
_cell_angle_alpha 60.00
_cell_angle_beta 60.00
_cell_angle_gamma 60.00
_symmetry_space_group_name_H-M 'P 1'
_symmetry_Int_Tables_number 1
loop_
_symmetry_equiv_pos_as_xyz
'x,y,z'
loop_
_atom_site_label
_atom_site_fract_x
_atom_site_fract_y
_atom_site_fract_z
Br1 0.000 0.000 0.000
Br2 0.750 0.750 0.750
W1 0.250 0.250 0.250
Al1 0.500 0.500 0.500

Record 5
# Al2WBr (GGA-PBE, relaxed)
# Space group: Cm (8)
# Energy relative to the elements, uncorrected (meV per atom): 339
# Size of the total moment (Bohr magnetons per cell): 0.00
data_Al2WBr
_cell_length_a 5.341
_cell_length_b 5.341
_cell_length_c 4.937
_cell_angle_alpha 75.90
_cell_angle_beta 75.90
_cell_angle_gamma 31.92
_symmetry_space_group_name_H-M 'P 1'
_symmetry_Int_Tables_number 1
loop_
_symmetry_equiv_pos_as_xyz
'x,y,z'
loop_
_atom_site_label
_atom_site_fract_x
_atom_site_fract_y
_atom_site_fract_z
Br1 0.456 0.456 0.474
W1 0.767 0.767 0.813
Al1 0.035 0.035 0.923
Al2 0.241 0.241 0.290

Record 6
# AlWBr2 (GGA-PBE, relaxed)
# Space group: I-42d (122)
# Energy relative to the elements, uncorrected (meV per atom): 562
# Size of the total moment (Bohr magnetons per cell): 1.63
data_AlWBr2
_cell_length_a 9.078
_cell_length_b 9.078
_cell_length_c 6.927
_cell_angle_alpha 49.06
_cell_angle_beta 49.06
_cell_angle_gamma 90.00
_symmetry_space_group_name_H-M 'P 1'
_symmetry_Int_Tables_number 1
loop_
_symmetry_equiv_pos_as_xyz
'x,y,z'
loop_
_atom_site_label
_atom_site_fract_x
_atom_site_fract_y
_atom_site_fract_z
Br1 0.767 0.125 0.250
Br2 0.983 0.625 0.250
Br3 0.375 0.233 0.750
Br4 0.875 0.017 0.750
W1 0.000 0.000 0.000
W2 0.750 0.250 0.500
Al1 0.500 0.500 0.000
Al2 0.250 0.750 0.500

Record 7
# Al2WBr (GGA-PBE, relaxed)
# Space group: C2/m (12)
# Energy relative to the elements, uncorrected (meV per atom): 584
# Size of the total moment (Bohr magnetons per cell): 0.00
data_Al2WBr
_cell_length_a 5.192
_cell_length_b 5.192
_cell_length_c 4.833
_cell_angle_alpha 83.20
_cell_angle_beta 83.20
_cell_angle_gamma 32.80
_symmetry_space_group_name_H-M 'P 1'
_symmetry_Int_Tables_number 1
loop_
_symmetry_equiv_pos_as_xyz
'x,y,z'
loop_
_atom_site_label
_atom_site_fract_x
_atom_site_fract_y
_atom_site_fract_z
Br1 0.250 0.250 0.250
W1 0.750 0.750 0.750
Al1 0.020 0.020 0.981
Al2 0.480 0.480 0.519

Record 8
# AlWBr2 (GGA-PBE, relaxed)
# Space group: I-4m2 (119)
# Energy relative to the elements, uncorrected (meV per atom): 1158
# Size of the total moment (Bohr magnetons per cell): 1.68
data_AlWBr2
_cell_length_a 5.301
_cell_length_b 5.301
_cell_length_c 5.301
_cell_angle_alpha 132.37
_cell_angle_beta 132.37
_cell_angle_gamma 69.64
_symmetry_space_group_name_H-M 'P 1'
_symmetry_Int_Tables_number 1
loop_
_symmetry_equiv_pos_as_xyz
'x,y,z'
loop_
_atom_site_label
_atom_site_fract_x
_atom_site_fract_y
_atom_site_fract_z
Br1 0.000 0.000 0.000
Br2 0.250 0.750 0.500
W1 0.500 0.500 0.000
Al1 0.750 0.250 0.500

Record 9
# AlWBr2 (GGA-PBE, relaxed)
# Space group: P4mm (99)
# Energy relative to the elements, uncorrected (meV per atom): 264
# Size of the total moment (Bohr magnetons per cell): 0.00
data_AlWBr2
_cell_length_a 3.120
_cell_length_b 3.120
_cell_length_c 8.760
_cell_angle_alpha 90.00
_cell_angle_beta 90.00
_cell_angle_gamma 90.00
_symmetry_space_group_name_H-M 'P 1'
_symmetry_Int_Tables_number 1
loop_
_symmetry_equiv_pos_as_xyz
'x,y,z'
loop_
_atom_site_label
_atom_site_fract_x
_atom_site_fract_y
_atom_site_fract_z
Br1 0.000 0.000 0.929
Br2 0.500 0.500 0.332
W1 0.000 0.000 0.520
Al1 0.500 0.500 0.719

Record 10
# AlW2Br (GGA-PBE, relaxed)
# Space group: I-42d (122)
# Energy relative to the elements, uncorrected (meV per atom): 1041
# Size of the total moment (Bohr magnetons per cell): 0.00
data_AlW2Br
_cell_length_a 3.903
_cell_length_b 3.903
_cell_length_c 10.051
_cell_angle_alpha 78.81
_cell_angle_beta 78.81
_cell_angle_gamma 90.00
_symmetry_space_group_name_H-M 'P 1'
_symmetry_Int_Tables_number 1
loop_
_symmetry_equiv_pos_as_xyz
'x,y,z'
loop_
_atom_site_label
_atom_site_fract_x
_atom_site_fract_y
_atom_site_fract_z
Br1 0.000 0.000 0.000
Br2 0.750 0.250 0.500
W1 0.599 0.125 0.250
W2 0.151 0.625 0.250
W3 0.375 0.401 0.750
W4 0.875 0.849 0.750
Al1 0.500 0.500 0.000
Al2 0.250 0.750 0.500

Record 11
# Al2WBr (GGA-PBE, relaxed)
# Space group: Fm-3m (225)
# Energy relative to the elements, uncorrected (meV per atom): 930
# Size of the total moment (Bohr magnetons per cell): 0.00
data_Al2WBr
_cell_length_a 4.641
_cell_length_b 4.641
_cell_length_c 4.641
_cell_angle_alpha 60.00
_cell_angle_beta 60.00
_cell_angle_gamma 60.00
_symmetry_space_group_name_H-M 'P 1'
_symmetry_Int_Tables_number 1
loop_
_symmetry_equiv_pos_as_xyz
'x,y,z'
loop_
_atom_site_label
_atom_site_fract_x
_atom_site_fract_y
_atom_site_fract_z
Br1 0.000 0.000 0.000
W1 0.500 0.500 0.500
Al1 0.250 0.250 0.250
Al2 0.750 0.750 0.750

Record 12
# AlWBr2 (GGA-PBE, relaxed)
# Space group: Pmmm (47)
# Energy relative to the elements, uncorrected (meV per atom): 816
# Size of the total moment (Bohr magnetons per cell): 1.22
data_AlWBr2
_cell_length_a 3.068
_cell_length_b 5.657
_cell_length_c 4.624
_cell_angle_alpha 90.00
_cell_angle_beta 90.00
_cell_angle_gamma 90.00
_symmetry_space_group_name_H-M 'P 1'
_symmetry_Int_Tables_number 1
loop_
_symmetry_equiv_pos_as_xyz
'x,y,z'
loop_
_atom_site_label
_atom_site_fract_x
_atom_site_fract_y
_atom_site_fract_z
Br1 0.000 0.000 0.000
Br2 0.500 0.500 0.000
W1 0.500 0.000 0.500
Al1 0.000 0.500 0.500

Record 13
# AlW3Br (GGA-PBE, relaxed)
# Space group: Pm-3m (221)
# Energy relative to the elements, uncorrected (meV per atom): 2087
# Size of the total moment (Bohr magnetons per cell): 0.00
data_AlW3Br
_cell_length_a 4.589
_cell_length_b 4.589
_cell_length_c 4.589
_cell_angle_alpha 90.00
_cell_angle_beta 90.00
_cell_angle_gamma 90.00
_symmetry_space_group_name_H-M 'P 1'
_symmetry_Int_Tables_number 1
loop_
_symmetry_equiv_pos_as_xyz
'x,y,z'
loop_
_atom_site_label
_atom_site_fract_x
_atom_site_fract_y
_atom_site_fract_z
Br1 0.000 0.000 0.000
W1 0.000 0.500 0.000
W2 0.000 0.000 0.500
W3 0.500 0.000 0.000
Al1 0.500 0.500 0.500

Record 14
# Al2WBr2 (GGA-PBE, relaxed)
# Space group: I4/mmm (139)
# Energy relative to the elements, uncorrected (meV per atom): 922
# Size of the total moment (Bohr magnetons per cell): 0.20
data_Al2WBr2
_cell_length_a 3.626
_cell_length_b 3.626
_cell_length_c 10.319
_cell_angle_alpha 79.88
_cell_angle_beta 79.88
_cell_angle_gamma 90.00
_symmetry_space_group_name_H-M 'P 1'
_symmetry_Int_Tables_number 1
loop_
_symmetry_equiv_pos_as_xyz
'x,y,z'
loop_
_atom_site_label
_atom_site_fract_x
_atom_site_fract_y
_atom_site_fract_z
Br1 0.750 0.250 0.500
Br2 0.250 0.750 0.500
W1 0.000 0.000 0.000
Al1 0.438 0.438 0.125
Al2 0.562 0.562 0.875

Record 15
# Al2WBr (GGA-PBE, relaxed)
# Space group: Pmmm (47)
# Energy relative to the elements, uncorrected (meV per atom): 702
# Size of the total moment (Bohr magnetons per cell): 0.16
data_Al2WBr
_cell_length_a 2.909
_cell_length_b 4.789
_cell_length_c 5.038
_cell_angle_alpha 90.00
_cell_angle_beta 90.00
_cell_angle_gamma 90.00
_symmetry_space_group_name_H-M 'P 1'
_symmetry_Int_Tables_number 1
loop_
_symmetry_equiv_pos_as_xyz
'x,y,z'
loop_
_atom_site_label
_atom_site_fract_x
_atom_site_fract_y
_atom_site_fract_z
Br1 0.500 0.000 0.500
W1 0.000 0.500 0.500
Al1 0.000 0.000 0.000
Al2 0.500 0.500 0.000

no.,offset from the most stable computed form (meV/atom)
1,0
2,510
3,386
4,1226
5,255
6,591
7,501
8,1187
9,293
10,663
11,847
12,845
13,0
14,141
15,619